# 1
# YHoPu2

A geometry-optimized YHoPu2 structure (PBE, Alexandria via LeMat-Bulk).

Cell lengths 3.444, 3.444, 11.582 Å; angles 81.45, 81.45, 60.00 degrees
Sites, in units of the cell vectors:
Y 0.000 0.000 0.000
Pu 0.249 0.249 0.252
Pu 0.751 0.751 0.748
Ho 0.500 0.500 0.500

DFT formation energy: 0.185 eV/atom
Energy: -9.74 eV per atom
Calculated volume: 117 Å³ per cell

# 2
# Y3Ho3Pu

A geometry-optimized Y3Ho3Pu structure (PBE, Alexandria via LeMat-Bulk).

Cell lengths 6.155, 6.155, 14.398 Å; angles 77.66, 77.66, 60.00 degrees
Sites, in units of the cell vectors:
Y 0.132 0.464 0.604
Y 0.464 0.800 0.604
Y 0.536 0.200 0.396
Y 0.800 0.132 0.604
Y 0.200 0.868 0.396
Y 0.868 0.536 0.396
Pu 0.333 0.333 0.000
Pu 0.667 0.667 0.000
Ho 0.064 0.731 0.808
Ho 0.397 0.064 0.808
Ho 0.269 0.603 0.192
Ho 0.603 0.936 0.192
Ho 0.936 0.269 0.192
Ho 0.731 0.397 0.808

DFT formation energy: 0.191 eV/atom
Energy: -6.59 eV per atom
Calculated volume: 458 Å³ per cell

# 3
# YHoPu2

A geometry-optimized YHoPu2 structure (PBE, Alexandria via LeMat-Bulk).

Cell lengths 5.051, 4.816, 4.816 Å; angles 90.00, 90.00, 90.00 degrees
Sites, in units of the cell vectors:
Ho 0.500 0.500 0.500
Y 0.500 0.000 0.000
Pu 0.000 0.500 0.000
Pu 0.000 0.000 0.500

DFT formation energy: 0.185 eV/atom
Energy: -9.74 eV per atom
Calculated volume: 117 Å³ per cell

# 4
# Y5Ho2Pu

A geometry-optimized Y5Ho2Pu structure (PBE, Alexandria via LeMat-Bulk).

Cell lengths 5.641, 5.622, 18.435 Å; angles 90.00, 90.00, 120.11 degrees
Sites, in units of the cell vectors:
Pu 0.997 0.993 0.750
Pu 0.003 0.007 0.250
Y 0.335 0.671 0.156
Y 0.665 0.329 0.656
Y 0.665 0.329 0.844
Y 0.999 0.998 0.585
Y 0.999 0.998 0.915
Y 0.001 0.002 0.415
Y 0.331 0.661 0.750
Y 0.335 0.671 0.344
Y 0.001 0.002 0.085
Y 0.669 0.339 0.250
Ho 0.667 0.334 0.039
Ho 0.333 0.666 0.961
Ho 0.667 0.334 0.461
Ho 0.333 0.666 0.539

DFT formation energy: 0.162 eV/atom
Energy: -6.81 eV per atom
Calculated volume: 506 Å³ per cell

# 5
# Y12Ho7Pu

A geometry-optimized Y12Ho7Pu structure (PBE, Alexandria via LeMat-Bulk).

Cell lengths 9.537, 9.537, 9.537 Å; angles 110.77, 110.77, 110.77 degrees
Sites, in units of the cell vectors:
Ho 0.206 0.036 0.327
Ho 0.794 0.964 0.673
Ho 0.964 0.673 0.794
Ho 0.500 0.500 0.500
Ho 0.327 0.206 0.036
Ho 0.036 0.327 0.206
Ho 0.673 0.794 0.964
Pu 0.000 0.000 0.000
Y 0.344 0.768 0.401
Y 0.656 0.232 0.599
Y 0.427 0.915 0.125
Y 0.085 0.875 0.573
Y 0.401 0.344 0.768
Y 0.875 0.573 0.085
Y 0.573 0.085 0.875
Y 0.768 0.401 0.344
Y 0.232 0.599 0.656
Y 0.599 0.656 0.232
Y 0.125 0.427 0.915
Y 0.915 0.125 0.427

DFT formation energy: 0.119 eV/atom
Energy: -6.08 eV per atom
Calculated volume: 634 Å³ per cell

# 6
# Y6Ho8Pu

A geometry-optimized Y6Ho8Pu structure (PBE, Alexandria via LeMat-Bulk).

Cell lengths 8.537, 8.537, 8.537 Å; angles 63.60, 63.60, 63.60 degrees
Sites, in units of the cell vectors:
Ho 0.751 0.111 0.717
Ho 0.283 0.249 0.889
Ho 0.111 0.717 0.751
Ho 0.424 0.424 0.424
Ho 0.249 0.889 0.283
Ho 0.889 0.283 0.249
Ho 0.576 0.576 0.576
Ho 0.717 0.751 0.111
Y 0.224 0.111 0.545
Y 0.455 0.776 0.889
Y 0.111 0.545 0.224
Y 0.776 0.889 0.455
Y 0.545 0.224 0.111
Y 0.889 0.455 0.776
Pu 0.000 0.000 0.000

DFT formation energy: 0.113 eV/atom
Energy: -5.87 eV per atom
Calculated volume: 475 Å³ per cell

# 7
# Y3Ho12Pu

A geometry-optimized Y3Ho12Pu structure (PBE, Alexandria via LeMat-Bulk).

Cell lengths 4.989, 4.989, 19.912 Å; angles 90.00, 90.00, 90.00 degrees
Sites, in units of the cell vectors:
Ho 0.500 0.000 0.121
Ho 0.000 0.500 0.374
Ho 0.000 0.500 0.121
Ho 0.500 0.500 0.000
Ho 0.500 0.500 0.500
Ho 0.500 0.000 0.374
Ho 0.500 0.500 0.249
Ho 0.000 0.500 0.879
Ho 0.500 0.500 0.751
Ho 0.000 0.500 0.626
Ho 0.500 0.000 0.879
Ho 0.500 0.000 0.626
Pu 0.000 0.000 0.000
Y 0.000 0.000 0.248
Y 0.000 0.000 0.500
Y 0.000 0.000 0.752

DFT formation energy: 0.043 eV/atom
Energy: -5.50 eV per atom
Calculated volume: 496 Å³ per cell

# 8
# Y12Ho7Pu

A geometry-optimized Y12Ho7Pu structure (PBE, Alexandria via LeMat-Bulk).

Cell lengths 6.098, 11.335, 11.335 Å; angles 116.86, 100.33, 100.33 degrees
Sites, in units of the cell vectors:
Y 0.502 0.588 0.417
Y 0.568 0.996 0.646
Y 0.085 0.583 0.171
Y 0.432 0.004 0.354
Y 0.077 0.646 0.650
Y 0.914 0.829 0.412
Y 0.498 0.412 0.583
Y 0.572 0.650 0.004
Y 0.923 0.354 0.350
Y 0.428 0.350 0.996
Y 0.915 0.417 0.829
Y 0.086 0.171 0.588
Ho 0.110 0.996 0.757
Ho 0.890 0.004 0.243
Ho 0.500 0.000 0.000
Ho 0.353 0.243 0.239
Ho 0.114 0.761 0.004
Ho 0.647 0.757 0.761
Ho 0.886 0.239 0.996
Pu 0.000 0.000 0.000

DFT formation energy: 0.257 eV/atom
Energy: -5.94 eV per atom
Calculated volume: 657 Å³ per cell